The following is a GGA-PBE calculation of a relaxed HfZnPt2 crystal, from the Alexandria database.

a b c (Å): 3.6708 3.6708 6.7949
angles (deg): 74.33 74.33 60.00
Fractional positions:
Hf 0.6671 0.6671 0.9988
Zn 0.4998 0.4998 0.5006
Pt 0.0877 0.0877 0.7369
Pt 0.2454 0.2454 0.2637

Formation energy (eV per atom): -0.66
Symmetry: R3m
DOS(E_F) (states/eV per atom): 0.375
Magnetization (μB/f.u.): 0.00

The following is a GGA-PBE calculation of a relaxed Rb2TcHgO4 crystal, from the Alexandria database.

a b c (Å): 6.5667 6.5667 6.5667
angles (deg): 112.01 108.22 108.22
Each line ends with the local moment (μB).
Fractional positions:
Rb 0.5000 0.7500 0.2500  0.00
Rb 0.0000 0.0000 0.0000  0.00
Tc 0.0000 0.5000 0.5000  0.63
Hg 0.5000 0.2500 0.7500  0.01
O 0.7467 0.5559 0.4860  0.06
O 0.9301 0.1908 0.4441  0.06
O 0.0699 0.5140 0.2607  0.06
O 0.2533 0.7393 0.8092  0.06

Symmetry: I-4
Total DFT energy (no corrections) (eV/atom): -5.426
DOS(E_F) (states/eV per atom): 0.749
Magnetization (μB/f.u.): 1.01

The following is a GGA-PBE calculation of a relaxed Na2BeNbPb crystal, from the Alexandria database.

a b c (Å): 5.2092 4.5893 5.2092
angles (deg): 90.00 90.00 90.00
Each line ends with the local moment (μB).
Fractional positions:
Pb 0.0000 0.5000 0.0000  -0.04
Na 0.0000 0.0000 0.5000  0.01
Na 0.5000 0.0000 0.0000  0.00
Nb 0.5000 0.5000 0.5000  2.69
Be 0.0000 0.0000 0.0000  -0.03

Formation energy (eV per atom): 1.07
Symmetry: P4/mmm
Relative energy among the computed polymorphs (eV per atom): 0.000
DOS(E_F) (states/eV per atom): 0.711
Magnetization (μB/f.u.): 3.54